RhCICl2 | PBE-GGA | optimized geometry

Lattice parameters (Å, degrees): 5.199 5.199 3.852 90.00 90.00 90.00
Fractional positions:
Rh1 0.000 0.000 0.000
C1 0.000 0.000 0.500
I1 0.500 0.500 0.500
Cl1 0.000 0.500 0.000
Cl2 0.500 0.000 0.000

Output
- formation energy (no corrections) (eV per atom) = 0.7800
- VASP energy (eV per atom) = -3.58